The following is a DFT calculation (PBE) of an optimized crystal structure of DyTmCdAu.

POSCAR file:
```
DyTmCdAu
1.0
-1.671 -2.543 4.156
3.244 -2.975 2.675
1.542 1.446 4.697
Cd Tm Au Dy
1 1 1 1
Direct
0.750 0.750 0.750
0.500 0.500 0.500
0.250 0.250 0.250
0.000 0.000 0.000
```

Polymorph energy (0 for the lowest one)   30.3 meV/atom
Total energy   -15.53 eV/cell
Density   11.011 g/cm3
Size of the total moment   0.0 μB per formula unit
Space group   F-43m
Formation energy   -567 meV per atom